Record 1
This record from the Alexandria database describes a relaxed HIr3Ru crystal. The functional is GGA-PBE.

Calculated values
As for the energy relative to the lowest polymorph listed for this composition: 11.164 eV/f.u. For the uncorrected energy, the calculation gives -5.430 eV/atom. The total magnetization is 0.2357 μB per atom. The crystal system is cubic.

abc: 4.7040 4.7040 4.7040
angles: 90.00 90.00 90.00
Closest atoms and distances in Å follow each position.
Fractional positions:
Ru 0.0000 0.0000 0.0000  6 Ir 2.35
Ir 0.0000 0.5000 0.0000  2 Ru 2.35
Ir 0.0000 0.0000 0.5000  2 Ru 2.35
Ir 0.5000 0.0000 0.0000  2 Ru 2.35
H 0.5000 0.5000 0.5000  12 Ir 3.33

Record 2
This record from the Alexandria database describes a relaxed HIrRu2 crystal. The functional is GGA-PBE.

Calculated values
As for the energy relative to the lowest polymorph listed for this composition: 2.683 eV/f.u. For the uncorrected energy, the calculation gives -6.950 eV/atom. The total magnetization is 0.0019 μB per atom. The crystal system is cubic.

abc: 4.1569 4.1569 4.1569
angles: 60.00 60.00 60.00
Closest atoms and distances in Å follow each position.
Fractional positions:
Ru 0.2500 0.2500 0.2500  4 H 2.55, 4 Ir 2.55
Ru 0.7500 0.7500 0.7500  4 H 2.55, 4 Ir 2.55
Ir 0.5000 0.5000 0.5000  8 Ru 2.55
H 0.0000 0.0000 0.0000  8 Ru 2.55

Record 3
This record from the Alexandria database describes a relaxed HIrRu crystal. The functional is GGA-PBE.

Calculated values
As for the energy relative to the lowest polymorph listed for this composition: 0.043 eV/f.u. For the uncorrected energy, the calculation gives -6.913 eV/atom. The total magnetization is 0.0000 μB per atom. The crystal system is orthorhombic.

abc: 4.6443 2.7568 10.0183
angles: 90.00 90.00 90.00
Closest atoms and distances in Å follow each position.
Fractional positions:
Ru 0.7500 0.2500 0.3047  2 H 1.92
Ru 0.7500 0.7500 0.8047  2 H 1.92
Ru 0.2500 0.7500 0.6953  2 H 1.92
Ru 0.2500 0.2500 0.1953  2 H 1.92
Ir 0.2500 0.2500 0.4728  2 H 1.99
Ir 0.2500 0.7500 0.9728  2 H 1.99
Ir 0.7500 0.7500 0.5272  2 H 1.99
Ir 0.7500 0.2500 0.0272  2 H 1.99
H 0.2494 0.2500 0.8291  2 Ru 1.92, 2 Ir 1.99
H 0.2506 0.7500 0.3291  2 Ru 1.92, 2 Ir 1.99
H 0.7506 0.7500 0.1709  2 Ru 1.92, 2 Ir 1.99
H 0.7494 0.2500 0.6709  2 Ru 1.92, 2 Ir 1.99

Record 4
This record from the Alexandria database describes a relaxed HIr2Ru crystal. The functional is GGA-PBE.

Calculated values
As for the energy relative to the lowest polymorph listed for this composition: 1.606 eV/f.u. For the uncorrected energy, the calculation gives -6.796 eV/atom. The total magnetization is 0.2530 μB per atom. The crystal system is cubic.

abc: 4.1697 4.1697 4.1697
angles: 60.00 60.00 60.00
Closest atoms and distances in Å follow each position.
Fractional positions:
Ru 0.5000 0.5000 0.5000  8 Ir 2.55
Ir 0.2500 0.2500 0.2500  4 H 2.55, 4 Ru 2.55
Ir 0.7500 0.7500 0.7500  4 H 2.55, 4 Ru 2.55
H 0.0000 0.0000 0.0000  8 Ir 2.55

Record 5
This record from the Alexandria database describes a relaxed HIr3Ru crystal. The functional is GGA-PBE.

Calculated values
As for the energy relative to the lowest polymorph listed for this composition: 0.000 eV/f.u. For the uncorrected energy, the calculation gives -7.663 eV/atom. The total magnetization is 0.0000 μB per atom. The crystal system is cubic.

abc: 3.9178 3.9178 3.9178
angles: 90.00 90.00 90.00
Closest atoms and distances in Å follow each position.
Fractional positions:
Ru 0.5000 0.5000 0.5000  12 Ir 2.77
Ir 0.0000 0.5000 0.0000  2 H 1.96
Ir 0.0000 0.0000 0.5000  2 H 1.96
Ir 0.5000 0.0000 0.0000  2 H 1.96
H 0.0000 0.0000 0.0000  6 Ir 1.96

Record 6
This record from the Alexandria database describes a relaxed H3IrRu crystal. The functional is GGA-PBE.

Calculated values
As for the energy relative to the lowest polymorph listed for this composition: 0.420 eV/f.u. For the uncorrected energy, the calculation gives -5.094 eV/atom. The total magnetization is 0.0000 μB per atom. The crystal system is cubic.

abc: 3.3921 3.3921 3.3921
angles: 90.00 90.00 90.00
Closest atoms and distances in Å follow each position.
Fractional positions:
Ru 0.0000 0.0000 0.0000  6 H 1.70
Ir 0.5000 0.5000 0.5000  12 H 2.40
H 0.0000 0.5000 0.0000  2 Ru 1.70
H 0.0000 0.0000 0.5000  2 Ru 1.70
H 0.5000 0.0000 0.0000  2 Ru 1.70

Record 7
This record from the Alexandria database describes a relaxed HIrRu3 crystal. The functional is GGA-PBE.

Calculated values
As for the energy relative to the lowest polymorph listed for this composition: 0.000 eV/f.u. For the uncorrected energy, the calculation gives -7.942 eV/atom. The total magnetization is 0.0000 μB per atom. The crystal system is cubic.

abc: 3.8794 3.8794 3.8794
angles: 90.00 90.00 90.00
Closest atoms and distances in Å follow each position.
Fractional positions:
Ru 0.0000 0.5000 0.0000  2 H 1.94
Ru 0.0000 0.0000 0.5000  2 H 1.94
Ru 0.5000 0.0000 0.0000  2 H 1.94
Ir 0.5000 0.5000 0.5000  12 Ru 2.74
H 0.0000 0.0000 0.0000  6 Ru 1.94

Record 8
This record from the Alexandria database describes a relaxed H12Ir5Ru3 crystal. The functional is GGA-PBE.

Calculated values
For the uncorrected energy, the calculation gives -5.193 eV/atom. The total magnetization is 0.0001 μB per atom. The crystal system is cubic.

abc: 9.3769 9.3769 9.3769
angles: 109.47 109.47 109.47
Closest atoms and distances in Å follow each position.
Fractional positions:
Ru 0.7500 0.3750 0.1250  8 H 1.96-1.97
Ru 0.8750 0.7500 0.1250  8 H 1.96-1.97
Ru 0.3750 0.7500 0.6250  8 H 1.96-1.97
Ru 0.2500 0.1250 0.3750  8 H 1.96-1.97
Ru 0.8750 0.1250 0.2500  8 H 1.96-1.97
Ru 0.3750 0.6250 0.2500  8 H 1.96-1.97
Ru 0.6250 0.3750 0.7500  8 H 1.96-1.97
Ru 0.1250 0.8750 0.7500  8 H 1.96-1.97
Ru 0.7500 0.8750 0.6250  8 H 1.96-1.97
Ru 0.6250 0.2500 0.3750  8 H 1.96-1.97
Ru 0.1250 0.2500 0.8750  8 H 1.96-1.97
Ru 0.2500 0.6250 0.8750  8 H 1.96-1.97
Ir 0.1250 0.3750 0.2500  4 H 1.76
Ir 0.0000 0.5000 0.0000  6 H 1.86
Ir 0.0000 0.0000 0.0000  6 H 1.86
Ir 0.3750 0.2500 0.1250  4 H 1.76
Ir 0.5000 0.0000 0.5000  6 H 1.86
Ir 0.5000 0.5000 0.0000  6 H 1.86
Ir 0.1250 0.7500 0.3750  4 H 1.76
Ir 0.7500 0.1250 0.8750  4 H 1.76
Ir 0.7500 0.6250 0.3750  4 H 1.76
Ir 0.3750 0.1250 0.7500  4 H 1.76
Ir 0.6250 0.8750 0.2500  4 H 1.76
Ir 0.5000 0.5000 0.5000  6 H 1.86
Ir 0.5000 0.0000 0.0000  6 H 1.86
Ir 0.0000 0.0000 0.5000  6 H 1.86
Ir 0.2500 0.3750 0.6250  4 H 1.76
Ir 0.2500 0.8750 0.1250  4 H 1.76
Ir 0.0000 0.5000 0.5000  6 H 1.86
Ir 0.8750 0.2500 0.6250  4 H 1.76
Ir 0.6250 0.7500 0.8750  4 H 1.76
Ir 0.8750 0.6250 0.7500  4 H 1.76
H 0.7273 0.1440 0.0588  2 Ir 1.76-1.86, 2 Ru 1.96-1.97
H 0.3315 0.5588 0.4148  2 Ir 1.76-1.86, 2 Ru 1.96-1.97
H 0.9412 0.3560 0.2727  2 Ir 1.76-1.86, 2 Ru 1.96-1.97
H 0.5588 0.2273 0.1440  2 Ir 1.76-1.86, 2 Ru 1.96-1.97
H 0.5832 0.7273 0.6685  2 Ir 1.76-1.86, 2 Ru 1.96-1.97
H 0.9412 0.5852 0.1685  2 Ir 1.76-1.86, 2 Ru 1.96-1.97
H 0.3315 0.7727 0.4168  2 Ir 1.76-1.86, 2 Ru 1.96-1.97
H 0.0852 0.9168 0.1440  2 Ir 1.76-1.86, 2 Ru 1.96-1.97
H 0.5852 0.9412 0.6685  2 Ir 1.76-1.86, 2 Ru 1.96-1.97
H 0.7273 0.5832 0.1685  2 Ir 1.76-1.86, 2 Ru 1.96-1.97
H 0.7727 0.4412 0.3560  2 Ir 1.76-1.86, 2 Ru 1.96-1.97
H 0.8315 0.9148 0.0588  2 Ir 1.76-1.86, 2 Ru 1.96-1.97
H 0.1440 0.7273 0.5588  2 Ir 1.76-1.86, 2 Ru 1.96-1.97
H 0.3560 0.4148 0.0832  2 Ir 1.76-1.86, 2 Ru 1.96-1.97
H 0.0832 0.9148 0.3560  2 Ir 1.76-1.86, 2 Ru 1.96-1.97
H 0.4168 0.1440 0.5852  2 Ir 1.76-1.86, 2 Ru 1.96-1.97
H 0.0832 0.1685 0.2273  2 Ir 1.76-1.86, 2 Ru 1.96-1.97
H 0.4412 0.6685 0.0852  2 Ir 1.76-1.86, 2 Ru 1.96-1.97
H 0.8315 0.9168 0.2727  2 Ir 1.76-1.86, 2 Ru 1.96-1.97
H 0.1440 0.4168 0.0852  2 Ir 1.76-1.86, 2 Ru 1.96-1.97
H 0.3560 0.9412 0.7727  2 Ir 1.76-1.86, 2 Ru 1.96-1.97
H 0.5852 0.6440 0.4168  2 Ir 1.76-1.86, 2 Ru 1.96-1.97
H 0.9148 0.8315 0.5588  2 Ir 1.76-1.86, 2 Ru 1.96-1.97
H 0.7727 0.3315 0.9168  2 Ir 1.76-1.86, 2 Ru 1.96-1.97
H 0.4148 0.3560 0.5832  2 Ir 1.76-1.86, 2 Ru 1.96-1.97
H 0.0852 0.1685 0.4412  2 Ir 1.76-1.86, 2 Ru 1.96-1.97
H 0.2273 0.6685 0.0832  2 Ir 1.76-1.86, 2 Ru 1.96-1.97
H 0.1685 0.0832 0.7273  2 Ir 1.76-1.86, 2 Ru 1.96-1.97
H 0.6440 0.0588 0.2273  2 Ir 1.76-1.86, 2 Ru 1.96-1.97
H 0.8560 0.5832 0.9148  2 Ir 1.76-1.86, 2 Ru 1.96-1.97
H 0.5588 0.3315 0.9148  2 Ir 1.76-1.86, 2 Ru 1.96-1.97
H 0.5832 0.8560 0.4148  2 Ir 1.76-1.86, 2 Ru 1.96-1.97
H 0.9168 0.8315 0.7727  2 Ir 1.76-1.86, 2 Ru 1.96-1.97
H 0.9168 0.0852 0.6440  2 Ir 1.76-1.86, 2 Ru 1.96-1.97
H 0.8560 0.2727 0.4412  2 Ir 1.76-1.86, 2 Ru 1.96-1.97
H 0.1685 0.0852 0.9412  2 Ir 1.76-1.86, 2 Ru 1.96-1.97
H 0.6440 0.5852 0.9168  2 Ir 1.76-1.86, 2 Ru 1.96-1.97
H 0.4148 0.0588 0.3315  2 Ir 1.76-1.86, 2 Ru 1.96-1.97
H 0.2727 0.4168 0.8315  2 Ir 1.76-1.86, 2 Ru 1.96-1.97
H 0.2273 0.5588 0.6440  2 Ir 1.76-1.86, 2 Ru 1.96-1.97
H 0.9148 0.0832 0.8560  2 Ir 1.76-1.86, 2 Ru 1.96-1.97
H 0.6685 0.2273 0.5832  2 Ir 1.76-1.86, 2 Ru 1.96-1.97
H 0.4412 0.7727 0.8560  2 Ir 1.76-1.86, 2 Ru 1.96-1.97
H 0.0588 0.4148 0.8315  2 Ir 1.76-1.86, 2 Ru 1.96-1.97
H 0.4168 0.2727 0.3315  2 Ir 1.76-1.86, 2 Ru 1.96-1.97
H 0.0588 0.6440 0.7273  2 Ir 1.76-1.86, 2 Ru 1.96-1.97
H 0.6685 0.4412 0.5852  2 Ir 1.76-1.86, 2 Ru 1.96-1.97
H 0.2727 0.8560 0.9412  2 Ir 1.76-1.86, 2 Ru 1.96-1.97

Record 9
This record from the Alexandria database describes a relaxed H3IrRu crystal. The functional is GGA-PBE.

Calculated values
As for the energy relative to the lowest polymorph listed for this composition: 0.000 eV/f.u. For the uncorrected energy, the calculation gives -5.178 eV/atom. The total magnetization is 0.2148 μB per atom. The crystal system is cubic.

abc: 3.4331 3.4331 3.4331
angles: 90.00 90.00 90.00
Closest atoms and distances in Å follow each position.
Fractional positions:
Ru 0.5000 0.5000 0.5000  12 H 2.43
Ir 0.0000 0.0000 0.0000  6 H 1.72
H 0.0000 0.5000 0.0000  2 Ir 1.72
H 0.0000 0.0000 0.5000  2 Ir 1.72
H 0.5000 0.0000 0.0000  2 Ir 1.72

Record 10
This record from the Alexandria database describes a relaxed HIrRu crystal. The functional is GGA-PBE.

Calculated values
As for the energy relative to the lowest polymorph listed for this composition: 0.271 eV/f.u. For the uncorrected energy, the calculation gives -6.837 eV/atom. The total magnetization is 0.0255 μB per atom. The crystal system is orthorhombic.

abc: 4.8332 5.4369 4.8455
angles: 90.00 90.00 90.00
Closest atoms and distances in Å follow each position.
Fractional positions:
Ru 0.0000 0.0000 0.0000  2 H 2.03
Ru 0.5000 0.5000 0.5000  2 H 2.03
Ru 0.5000 0.0000 0.5000  2 H 2.03
Ru 0.0000 0.5000 0.0000  2 H 2.03
Ir 0.4991 0.2500 0.0243  2 H 1.80-1.81
Ir 0.0009 0.7500 0.5243  2 H 1.80-1.81
Ir 0.5009 0.7500 0.9757  2 H 1.80-1.81
Ir 0.9991 0.2500 0.4757  2 H 1.80-1.81
H 0.7799 0.2500 0.7797  2 Ir 1.80-1.81
H 0.7201 0.7500 0.2797  2 Ir 1.80-1.81
H 0.2201 0.7500 0.2203  2 Ir 1.80-1.81
H 0.2799 0.2500 0.7203  2 Ir 1.80-1.81

Record 11
This record from the Alexandria database describes a relaxed HIrRu3 crystal. The functional is GGA-PBE.

Calculated values
As for the energy relative to the lowest polymorph listed for this composition: 11.362 eV/f.u. For the uncorrected energy, the calculation gives -5.670 eV/atom. The total magnetization is 0.6889 μB per atom. The crystal system is cubic.

abc: 4.7284 4.7284 4.7284
angles: 90.00 90.00 90.00
Closest atoms and distances in Å follow each position.
Fractional positions:
Ru 0.0000 0.5000 0.0000  2 Ir 2.36
Ru 0.0000 0.0000 0.5000  2 Ir 2.36
Ru 0.5000 0.0000 0.0000  2 Ir 2.36
Ir 0.0000 0.0000 0.0000  6 Ru 2.36
H 0.5000 0.5000 0.5000  12 Ru 3.34

Record 12
This record from the Alexandria database describes a relaxed HIrRu2 crystal. The functional is GGA-PBE.

Calculated values
As for the energy relative to the lowest polymorph listed for this composition: 0.000 eV/f.u. For the uncorrected energy, the calculation gives -7.621 eV/atom. The total magnetization is 0.0000 μB per atom. The crystal system is trigonal.

abc: 2.7686 2.7686 6.8828
angles: 78.40 78.40 60.00
Closest atoms and distances in Å follow each position.
Fractional positions:
Ru 0.7241 0.7241 0.8278  3 H 1.97
Ru 0.2759 0.2759 0.1722  3 H 1.97
Ir 0.5000 0.5000 0.5000  6 Ru 2.72, 6 Ir 2.77
H 0.0000 0.0000 0.0000  6 Ru 1.97